DFT (PBE) results for a geometry-optimized LiGaCuHg structure.

## Properties
ΔH_f (0 K)   -132 meV/atom
E_tot   -9.87 eV per formula unit

a b c (Å): 6.3454 6.3454 6.3454
angles (deg): 90.00 90.00 90.00
Closest atoms and distances in Å follow each position.
Space group F-43m (No. 216)
Symmetry-distinct sites (fractional):
Li (0.0000, 0.0000, 0.0000) [4 per cell]  4 Hg 2.75, 4 Ga 2.75
Ga (0.2500, 0.2500, 0.7500) [4 per cell]  4 Li 2.75, 4 Cu 2.75
Cu (0.0000, 0.0000, 0.5000) [4 per cell]  4 Ga 2.75, 4 Hg 2.75
Hg (0.2500, 0.2500, 0.2500) [4 per cell]  4 Li 2.75, 4 Cu 2.75

DFT (PBE) results for a geometry-optimized LuGaCuHg structure.

## Properties
ΔH_f (0 K)   -217 meV/atom
E_tot   -12.81 eV per formula unit

a b c (Å): 6.7559 6.7559 6.7559
angles (deg): 90.00 90.00 90.00
Closest atoms and distances in Å follow each position.
Space group F-43m (No. 216)
Symmetry-distinct sites (fractional):
Lu (0.0000, 0.0000, 0.0000) [4 per cell]  4 Hg 2.93, 4 Cu 2.93
Ga (0.0000, 0.0000, 0.5000) [4 per cell]  4 Hg 2.93, 4 Cu 2.93
Cu (0.2500, 0.2500, 0.7500) [4 per cell]  4 Lu 2.93, 4 Ga 2.93
Hg (0.2500, 0.2500, 0.2500) [4 per cell]  4 Lu 2.93, 4 Ga 2.93

DFT (PBE) results for a geometry-optimized Na2GaCuHg structure.

## Properties
ΔH_f (0 K)   205 meV/atom
E_tot   -9.04 eV per formula unit

a b c (Å): 5.6955 5.6955 4.5658
angles (deg): 90.00 90.00 90.00
Closest atoms and distances in Å follow each position.
Space group P4/mmm (No. 123)
Symmetry-distinct sites (fractional):
Na (0.0000, 0.5000, 0.0000) [2 per cell]  2 Ga 2.85
Ga (0.0000, 0.0000, 0.0000) [1 per cell]  2 Cu 2.28
Cu (0.0000, 0.0000, 0.5000) [1 per cell]  2 Ga 2.28
Hg (0.5000, 0.5000, 0.5000) [1 per cell]  8 Na 3.65, 4 Cu 4.03

DFT (PBE) results for a geometry-optimized Nd2Ga4Cu3Hg structure.

## Properties
ΔH_f (0 K)   -418 meV/atom
E_tot   -38.42 eV per formula unit

a b c (Å): 4.2928 4.2928 10.3644
angles (deg): 90.00 90.00 90.00
Closest atoms and distances in Å follow each position.
Space group P-4m2 (No. 115)
Symmetry-distinct sites (fractional):
Nd (0.0000, 0.5000, 0.2417) [2 per cell]  8 Ga 3.23-3.30, 6 Cu 3.29-3.43, 2 Hg 3.43
Ga (0.0000, 0.0000, 0.0000) [1 per cell]  4 Cu 2.48
Ga (0.0000, 0.5000, 0.6504) [2 per cell]  3 Cu 2.38-2.65, 2 Hg 2.65
Ga (0.5000, 0.5000, 0.0000) [1 per cell]  4 Cu 2.48
Cu (0.0000, 0.5000, 0.8800) [2 per cell]  5 Ga 2.38-2.48
Cu (0.5000, 0.5000, 0.5000) [1 per cell]  4 Ga 2.65
Hg (0.0000, 0.0000, 0.5000) [1 per cell]  4 Ga 2.65

DFT (PBE) results for a geometry-optimized NdGaCuHg structure.

## Properties
ΔH_f (0 K)   -263 meV/atom
E_tot   -13.24 eV per formula unit

a b c (Å): 6.9292 6.9292 6.9292
angles (deg): 90.00 90.00 90.00
Closest atoms and distances in Å follow each position.
Space group F-43m (No. 216)
Symmetry-distinct sites (fractional):
Nd (0.0000, 0.0000, 0.0000) [4 per cell]  4 Cu 3.00, 4 Ga 3.00
Ga (0.2500, 0.2500, 0.2500) [4 per cell]  4 Hg 3.00, 4 Nd 3.00
Cu (0.2500, 0.2500, 0.7500) [4 per cell]  4 Hg 3.00, 4 Nd 3.00
Hg (0.0000, 0.0000, 0.5000) [4 per cell]  4 Ga 3.00, 4 Cu 3.00

DFT (PBE) results for a geometry-optimized Ga2CuHgOs structure.

## Properties
ΔH_f (0 K)   647 meV/atom
E_tot   -18.45 eV per formula unit

a b c (Å): 4.7627 4.7627 5.3024
angles (deg): 90.00 90.00 90.00
Closest atoms and distances in Å follow each position.
Space group P4/mmm (No. 123)
Symmetry-distinct sites (fractional):
Ga (0.0000, 0.5000, 0.0000) [2 per cell]  2 Os 2.38
Cu (0.0000, 0.0000, 0.5000) [1 per cell]  4 Hg 3.37, 8 Ga 3.56
Hg (0.5000, 0.5000, 0.5000) [1 per cell]  2 Os 2.65
Os (0.5000, 0.5000, 0.0000) [1 per cell]  4 Ga 2.38, 2 Hg 2.65

DFT (PBE) results for a geometry-optimized Pm2Ga3Cu4Hg structure.

## Properties
ΔH_f (0 K)   -354 meV/atom
E_tot   -38.81 eV per formula unit

a b c (Å): 4.2542 4.2542 10.3278
angles (deg): 90.00 90.00 90.00
Closest atoms and distances in Å follow each position.
Space group P-4m2 (No. 115)
Symmetry-distinct sites (fractional):
Pm (0.0000, 0.5000, 0.2361) [2 per cell]  6 Ga 3.23-3.46, 8 Cu 3.24, 2 Hg 3.46
Ga (0.0000, 0.5000, 0.8784) [2 per cell]  5 Cu 2.39-2.47
Ga (0.5000, 0.5000, 0.5000) [1 per cell]  4 Cu 2.61
Cu (0.0000, 0.0000, 0.0000) [1 per cell]  4 Ga 2.47
Cu (0.0000, 0.5000, 0.6472) [2 per cell]  3 Ga 2.39-2.61, 2 Hg 2.61
Cu (0.5000, 0.5000, 0.0000) [1 per cell]  4 Ga 2.47
Hg (0.0000, 0.0000, 0.5000) [1 per cell]  4 Cu 2.61

DFT (PBE) results for a geometry-optimized PmGaCuHg structure.

## Properties
ΔH_f (0 K)   -267 meV/atom
E_tot   -13.24 eV per formula unit

a b c (Å): 6.8943 6.8943 6.8943
angles (deg): 90.00 90.00 90.00
Closest atoms and distances in Å follow each position.
Space group F-43m (No. 216)
Symmetry-distinct sites (fractional):
Pm (0.0000, 0.0000, 0.0000) [4 per cell]  4 Cu 2.99, 4 Ga 2.99
Ga (0.2500, 0.2500, 0.7500) [4 per cell]  4 Hg 2.99, 4 Pm 2.99
Cu (0.2500, 0.2500, 0.2500) [4 per cell]  4 Hg 2.99, 4 Pm 2.99
Hg (0.0000, 0.0000, 0.5000) [4 per cell]  4 Ga 2.99, 4 Cu 2.99

DFT (PBE) results for a geometry-optimized Pm2Ga4Cu3Hg structure.

## Properties
ΔH_f (0 K)   -417 meV/atom
E_tot   -38.37 eV per formula unit

a b c (Å): 4.2691 4.2691 10.3729
angles (deg): 90.00 90.00 90.00
Closest atoms and distances in Å follow each position.
Space group P-4m2 (No. 115)
Symmetry-distinct sites (fractional):
Pm (0.0000, 0.5000, 0.2413) [2 per cell]  8 Ga 3.22-3.29, 6 Cu 3.27-3.43, 2 Hg 3.43
Ga (0.0000, 0.0000, 0.0000) [1 per cell]  4 Cu 2.47
Ga (0.0000, 0.5000, 0.6509) [2 per cell]  3 Cu 2.37-2.65, 2 Hg 2.65
Ga (0.5000, 0.5000, 0.0000) [1 per cell]  4 Cu 2.47
Cu (0.0000, 0.5000, 0.8794) [2 per cell]  5 Ga 2.37-2.47
Cu (0.5000, 0.5000, 0.5000) [1 per cell]  4 Ga 2.65
Hg (0.0000, 0.0000, 0.5000) [1 per cell]  4 Ga 2.65

DFT (PBE) results for a geometry-optimized Pr2Ga4Cu3Hg structure.

## Properties
ΔH_f (0 K)   -419 meV/atom
E_tot   -38.45 eV per formula unit

a b c (Å): 4.3181 4.3181 10.3593
angles (deg): 90.00 90.00 90.00
Closest atoms and distances in Å follow each position.
Space group P-4m2 (No. 115)
Symmetry-distinct sites (fractional):
Pr (0.0000, 0.5000, 0.2423) [2 per cell]  8 Ga 3.25-3.31, 6 Cu 3.31-3.43, 2 Hg 3.43
Ga (0.0000, 0.0000, 0.0000) [1 per cell]  4 Cu 2.49
Ga (0.0000, 0.5000, 0.6499) [2 per cell]  3 Cu 2.39-2.66, 2 Hg 2.66
Ga (0.5000, 0.5000, 0.0000) [1 per cell]  4 Cu 2.49
Cu (0.0000, 0.5000, 0.8807) [2 per cell]  5 Ga 2.39-2.49
Cu (0.5000, 0.5000, 0.5000) [1 per cell]  4 Ga 2.66
Hg (0.0000, 0.0000, 0.5000) [1 per cell]  4 Ga 2.66

DFT (PBE) results for a geometry-optimized GaCu2HgPt structure.

## Properties
ΔH_f (0 K)   537 meV/atom
E_tot   -14.88 eV per formula unit

a b c (Å): 4.8176 4.8176 5.1793
angles (deg): 90.00 90.00 90.00
Closest atoms and distances in Å follow each position.
Space group P4/mmm (No. 123)
Symmetry-distinct sites (fractional):
Ga (0.0000, 0.0000, 0.0000) [1 per cell]  4 Hg 3.41, 8 Cu 3.54
Cu (0.0000, 0.5000, 0.5000) [2 per cell]  2 Pt 2.41
Hg (0.5000, 0.5000, 0.0000) [1 per cell]  2 Pt 2.59
Pt (0.5000, 0.5000, 0.5000) [1 per cell]  4 Cu 2.41, 2 Hg 2.59

DFT (PBE) results for a geometry-optimized PuGaCuHg structure.

## Properties
ΔH_f (0 K)   -55 meV/atom
E_tot   -21.98 eV per formula unit

a b c (Å): 6.8352 6.8352 6.8352
angles (deg): 90.00 90.00 90.00
Closest atoms and distances in Å follow each position.
Space group F-43m (No. 216)
Symmetry-distinct sites (fractional):
Pu (0.0000, 0.0000, 0.0000) [4 per cell]  4 Ga 2.96, 4 Cu 2.96
Ga (0.2500, 0.2500, 0.2500) [4 per cell]  4 Hg 2.96, 4 Pu 2.96
Cu (0.2500, 0.2500, 0.7500) [4 per cell]  4 Pu 2.96, 4 Hg 2.96
Hg (0.0000, 0.0000, 0.5000) [4 per cell]  4 Cu 2.96, 4 Ga 2.96

DFT (PBE) results for a geometry-optimized RbGa2CuHg structure.

## Properties
ΔH_f (0 K)   71 meV/atom
E_tot   -11.06 eV per formula unit

a b c (Å): 4.9027 4.9027 5.4583
angles (deg): 90.00 90.00 90.00
Closest atoms and distances in Å follow each position.
Space group P4/mmm (No. 123)
Symmetry-distinct sites (fractional):
Rb (0.0000, 0.0000, 0.0000) [1 per cell]  4 Hg 3.47, 8 Ga 3.67
Ga (0.0000, 0.5000, 0.5000) [2 per cell]  2 Cu 2.45
Cu (0.5000, 0.5000, 0.5000) [1 per cell]  4 Ga 2.45, 2 Hg 2.73
Hg (0.5000, 0.5000, 0.0000) [1 per cell]  2 Cu 2.73

DFT (PBE) results for a geometry-optimized RbGaCuHg2 structure.

## Properties
ΔH_f (0 K)   -4 meV/atom
E_tot   -8.72 eV per formula unit

a b c (Å): 5.3471 5.3471 4.8517
angles (deg): 90.00 90.00 90.00
Closest atoms and distances in Å follow each position.
Space group P4/mmm (No. 123)
Symmetry-distinct sites (fractional):
Rb (0.0000, 0.0000, 0.0000) [1 per cell]  8 Hg 3.61, 4 Ga 3.78
Ga (0.5000, 0.5000, 0.0000) [1 per cell]  2 Cu 2.43
Cu (0.5000, 0.5000, 0.5000) [1 per cell]  2 Ga 2.43, 4 Hg 2.67
Hg (0.0000, 0.5000, 0.5000) [2 per cell]  2 Cu 2.67

DFT (PBE) results for a geometry-optimized GaCuHg2S4 structure.

## Properties
Formation energy from raw total energies   -0.3528 eV/atom
E_tot   -27.06 eV per formula unit

a b c (Å): 5.7231 5.7231 11.1212
angles (deg): 90.00 90.00 90.00
Closest atoms and distances in Å follow each position.
Space group I-4 (No. 82)
Symmetry-distinct sites (fractional):
Ga (0.0000, 0.0000, 0.0000) [2 per cell]  4 S 2.33
Cu (0.0000, 0.5000, 0.2500) [2 per cell]  4 S 2.31
Hg (0.0000, 0.0000, 0.5000) [2 per cell]  4 S 2.61
Hg (0.0000, 0.5000, 0.7500) [2 per cell]  4 S 2.60
S (0.2072, 0.7500, 0.1261) [8 per cell]  1 Cu 2.31, 1 Ga 2.33

DFT (PBE) results for a geometry-optimized Sc4Ga2CuHg structure.

## Properties
ΔH_f (0 K)   -478 meV/atom
E_tot   -39.60 eV per formula unit

a b c (Å): 4.7861 4.7861 23.5117
angles (deg): 90.00 90.00 120.00
Closest atoms and distances in Å follow each position.
Space group R-3m (No. 166, hexagonal axes)
Symmetry-distinct sites (fractional):
Sc (0.0000, 0.0000, 0.1202) [6 per cell]  1 Cu 2.83, 4 Ga 2.90-3.07, 3 Hg 2.97
Sc (0.0000, 0.0000, 0.3712) [6 per cell]  4 Ga 2.84-2.96, 3 Cu 2.90, 1 Hg 3.03
Ga (0.0000, 0.0000, 0.2506) [6 per cell]  8 Sc 2.84-3.07
Cu (0.0000, 0.0000, 0.0000) [3 per cell]  8 Sc 2.83-2.90
Hg (0.0000, 0.0000, 0.5000) [3 per cell]  8 Sc 2.97-3.03

DFT (PBE) results for a geometry-optimized ScGaCuHg structure.

## Properties
ΔH_f (0 K)   -231 meV/atom
E_tot   -14.68 eV per formula unit

a b c (Å): 6.5765 6.5765 6.5765
angles (deg): 90.00 90.00 90.00
Closest atoms and distances in Å follow each position.
Space group F-43m (No. 216)
Symmetry-distinct sites (fractional):
Sc (0.0000, 0.0000, 0.0000) [4 per cell]  4 Hg 2.85, 4 Ga 2.85
Ga (0.2500, 0.2500, 0.2500) [4 per cell]  4 Cu 2.85, 4 Sc 2.85
Cu (0.0000, 0.0000, 0.5000) [4 per cell]  4 Hg 2.85, 4 Ga 2.85
Hg (0.2500, 0.2500, 0.7500) [4 per cell]  4 Sc 2.85, 4 Cu 2.85

DFT (PBE) results for a geometry-optimized GaCu2HgSe4 structure.

## Properties
Formation energy from raw total energies   -0.3253 eV/atom
E_tot   -28.06 eV per formula unit

a b c (Å): 5.7931 5.7931 11.4057
angles (deg): 90.00 90.00 90.00
Closest atoms and distances in Å follow each position.
Space group I-42m (No. 121)
Symmetry-distinct sites (fractional):
Ga (0.0000, 0.0000, 0.0000) [2 per cell]  4 Se 2.46
Cu (0.0000, 0.5000, 0.2500) [4 per cell]  4 Se 2.43
Hg (0.0000, 0.0000, 0.5000) [2 per cell]  4 Se 2.68
Se (0.2330, 0.2330, 0.1365) [8 per cell]  2 Cu 2.43, 1 Ga 2.46, 1 Hg 2.68

DFT (PBE) results for a geometry-optimized GaCuHg2Se structure.

## Properties
Formation energy from raw total energies   0.3892 eV/atom
E_tot   -9.27 eV per formula unit

a b c (Å): 5.8733 5.8733 4.4000
angles (deg): 90.00 90.00 90.00
Closest atoms and distances in Å follow each position.
Space group P4/mmm (No. 123)
Symmetry-distinct sites (fractional):
Ga (0.0000, 0.0000, 0.0000) [1 per cell]  8 Hg 3.67
Cu (0.5000, 0.5000, 0.0000) [1 per cell]  2 Se 2.20
Hg (0.0000, 0.5000, 0.5000) [2 per cell]  2 Se 2.94
Se (0.5000, 0.5000, 0.5000) [1 per cell]  2 Cu 2.20

DFT (PBE) results for a geometry-optimized GaCu3HgSe4 structure.

## Properties
Formation energy from raw total energies   -0.1227 eV/atom
E_tot   -30.66 eV per formula unit

a b c (Å): 5.9492 5.9492 5.9492
angles (deg): 90.00 90.00 90.00
Closest atoms and distances in Å follow each position.
Space group P-43m (No. 215)
Symmetry-distinct sites (fractional):
Ga (0.0000, 0.0000, 0.0000) [1 per cell]  4 Se 2.45
Cu (0.0000, 0.0000, 0.5000) [3 per cell]  4 Se 2.54
Hg (0.5000, 0.5000, 0.5000) [1 per cell]  4 Se 2.70
Se (0.2380, 0.2380, 0.2380) [4 per cell]  1 Ga 2.45, 3 Cu 2.54, 1 Hg 2.70